Here is a relaxed MnAl2Cu crystal from Alexandria. Energies are from PBEsol.

POSCAR file:
```
MnAl2Cu
1.0
2.7726 0.0000 0.0000
0.0000 3.6452 0.0000
0.0000 0.0000 5.2063
Al Mn Cu
2 1 1
direct
0.5000 0.5000 0.2708
0.0000 0.0000 0.9745
0.5000 0.5000 0.7618
0.0000 0.0000 0.4929
```

---

Here is a relaxed MnAl2Cu crystal from Alexandria. Energies are from PBEsol.

POSCAR file:
```
MnAl2Cu
1.0
2.7864 0.0000 0.0000
0.0000 4.2384 -0.0246
-1.3932 -1.4638 4.3078
Cu Al Mn
1 2 1
direct
0.4963 0.5503 0.9926
0.2430 0.6947 0.4859
0.0094 0.0608 0.0188
0.7513 0.1942 0.5027
```

---

Here is a relaxed MnAl3Cu crystal from Alexandria. Energies are from PBEsol.

POSCAR file:
```
MnAl3Cu
1.0
4.4686 0.0000 0.0000
0.0000 4.4686 0.0000
0.0000 0.0000 4.4686
Al Mn Cu
3 1 1
direct
0.0000 0.0000 0.5000
0.5000 0.0000 0.0000
0.0000 0.5000 0.0000
0.5000 0.5000 0.5000
0.0000 0.0000 0.0000
```

---

Energy of formation from the pure elements (computed, eV/atom): -0.081, -0.179, 0.547